Record 1
DFT (PBE) results for a relaxed structure of HIr2Os.

Calculated values
As for the crystal system: tetragonal. The value obtained for the volume is 12.0 A^3/atom. The value obtained for the total magnetization is 0.00 μB/f.u. The total energy comes out at -7.605 eV/atom.

Cell: 6.0889 6.0889 5.1976 Å, 90.00 90.00 90.00°
Space group I-42d (No. 122)
Unique sites:
1 H 0.0000 0.0000 0.0000 x4
2 Ir 0.1513 0.2500 0.1250 x8
3 Os 0.0000 0.0000 0.5000 x4

---

Record 2
DFT (PBE) results for a relaxed structure of U5Ti3P12.

Calculated values
As for the crystal system: cubic. The value obtained for the volume is 21.6 A^3/atom. The value obtained for the total magnetization is 2.70 μB/f.u. The total energy comes out at -7.475 eV/atom.

Cell: 15.1091 15.1091 15.1091 Å, 90.00 90.00 90.00°
Space group Ia-3d (No. 230)
Unique sites:
1 U 0.0000 0.0000 0.0000 x16
2 U 0.0000 0.2500 0.3750 x24
3 Ti 0.0000 0.2500 0.1250 x24
4 P 0.0073 0.0881 0.6611 x96